Below is CoBrCl at its PBEsol-relaxed geometry, with properties calculated at the meta-GGA SCAN level.

a b c (Å): 3.112 3.112 6.606
angles (deg): 103.62 103.62 90.00
Last column: magnetic moment on the atom in μB.
Sites, in units of the cell vectors:
Co  0.328  0.328  0.657  2.51
Br  0.957  0.957  0.914  0.23
Cl  0.715  0.715  0.430  0.16

Summary:
The calculation puts the uncorrected formation energy at -0.87 eV per formula unit. The calculation puts the energy above the lowest structure with this stoichiometry at 0.85 eV per formula unit.

Below is RbSrScBe2 at its PBEsol-relaxed geometry, with properties calculated at the meta-GGA SCAN level.

a b c (Å): 5.211 5.211 5.837
angles (deg): 90.00 90.00 90.00
Sites, in units of the cell vectors:
Sc  0.000  0.000  0.000
Sr  0.000  0.000  0.500
Rb  0.500  0.500  0.500
Be  0.000  0.500  0.000
Be  0.500  0.000  0.000

Summary:
The calculation puts the energy relative to the elements at 547 kJ/mol of formula units.

Below is ScFe2Pt at its PBEsol-relaxed geometry, with properties calculated at the meta-GGA SCAN level.

a b c (Å): 2.850 2.850 8.332
angles (deg): 80.15 80.15 60.00
Last column: magnetic moment on the atom in μB.
Sites, in units of the cell vectors:
Fe  0.006  0.006  0.981  2.40
Fe  0.744  0.744  0.769  3.05
Pt  0.496  0.496  0.513  0.10
Sc  0.254  0.254  0.237  -0.46

Summary:
The calculation puts the energy relative to the elements at -41 kJ/mol of formula units.

Below is Tb3Cu4Si4 at its PBEsol-relaxed geometry, with properties calculated at the meta-GGA SCAN level.

a b c (Å): 3.944 3.999 12.097
angles (deg): 99.51 99.38 90.00
Sites, in units of the cell vectors:
Si  0.306  0.806  0.613
Si  0.550  0.550  0.100
Si  0.450  0.450  0.900
Si  0.694  0.194  0.387
Tb  0.150  0.650  0.299
Tb  0.000  0.000  0.000
Tb  0.850  0.350  0.701
Cu  0.750  0.750  0.500
Cu  0.250  0.250  0.500
Cu  0.404  0.904  0.807
Cu  0.596  0.096  0.193

Summary:
The calculation puts the uncorrected formation energy at -7.47 eV per formula unit.